Material: Hf2Fe3Mo
Method: DFT, PBE
State: relaxed

a = 5.0995 Å, b = 5.0995 Å, c = 4.9340 Å
α = 90.01°, β = 121.05°, γ = 120.04°
Fractional positions:
1 Hf 0.7477 0.3740 0.1217
2 Hf 0.2523 0.6260 0.8783
3 Fe 0.5000 0.5000 0.5000
4 Fe 0.0000 0.0000 0.5000
5 Fe 0.5000 0.0000 0.5000
6 Mo 0.0000 0.0000 0.0000

Calculated values
The space group is R-3m, No. 166.

***

Material: Hf3FeMo
Method: DFT, PBE
State: relaxed

a = 4.9267 Å, b = 4.9267 Å, c = 4.9267 Å
α = 90.00°, β = 90.00°, γ = 90.00°
Fractional positions:
1 Mo 0.0000 0.0000 0.0000
2 Hf 0.0000 0.5000 0.0000
3 Hf 0.0000 0.0000 0.5000
4 Hf 0.5000 0.0000 0.0000
5 Fe 0.5000 0.5000 0.5000

Calculated values
The space group is Pm-3m, No. 221.

***

Material: HfFe2Mo2
Method: DFT, PBE
State: relaxed

a = 3.9882 Å, b = 3.9882 Å, c = 5.8351 Å
α = 70.02°, β = 70.02°, γ = 90.00°
Fractional positions:
1 Mo 0.3745 0.3745 0.2510
2 Mo 0.6255 0.6255 0.7490
3 Hf 0.0000 0.0000 0.0000
4 Fe 0.7500 0.2500 0.5000
5 Fe 0.2500 0.7500 0.5000

Calculated values
The space group is I4/mmm, No. 139.

***

Material: HfFe2Mo
Method: DFT, PBE
State: relaxed

a = 4.3415 Å, b = 4.3415 Å, c = 4.3415 Å
α = 60.00°, β = 60.00°, γ = 60.00°
Fractional positions:
1 Mo 0.0000 0.0000 0.0000
2 Hf 0.5000 0.5000 0.5000
3 Fe 0.2500 0.2500 0.2500
4 Fe 0.7500 0.7500 0.7500

Calculated values
The space group is Fm-3m, No. 225.

***

Material: HfFe3Mo
Method: DFT, PBE
State: relaxed

a = 4.3780 Å, b = 4.3780 Å, c = 4.3780 Å
α = 90.00°, β = 90.00°, γ = 90.00°
Fractional positions:
1 Mo 0.0000 0.0000 0.0000
2 Hf 0.5000 0.5000 0.5000
3 Fe 0.0000 0.5000 0.0000
4 Fe 0.0000 0.0000 0.5000
5 Fe 0.5000 0.0000 0.0000

Calculated values
The space group is Pm-3m, No. 221.

***

Material: HfFeMo2
Method: DFT, PBE
State: relaxed

a = 4.4441 Å, b = 4.4441 Å, c = 4.4441 Å
α = 60.00°, β = 60.00°, γ = 60.00°
Fractional positions:
1 Mo 0.2500 0.2500 0.2500
2 Mo 0.7500 0.7500 0.7500
3 Hf 0.5000 0.5000 0.5000
4 Fe 0.0000 0.0000 0.0000

Calculated values
The space group is Fm-3m, No. 225.

***

Material: Hf3FeMo
Method: DFT, PBE
State: relaxed

a = 4.6971 Å, b = 4.6971 Å, c = 4.6971 Å
α = 90.00°, β = 90.00°, γ = 90.00°
Fractional positions:
1 Mo 0.5000 0.5000 0.5000
2 Hf 0.0000 0.5000 0.0000
3 Hf 0.0000 0.0000 0.5000
4 Hf 0.5000 0.0000 0.0000
5 Fe 0.0000 0.0000 0.0000

Calculated values
The space group is Pm-3m, No. 221.

***

Material: Hf4FeMo
Method: DFT, PBE
State: relaxed

a = 4.4651 Å, b = 4.4656 Å, c = 6.3193 Å
α = 89.96°, β = 89.98°, γ = 90.00°
Fractional positions:
1 Hf 0.5011 0.9969 0.2578
2 Hf 0.5015 0.9976 0.7384
3 Hf 0.0015 0.4976 0.7384
4 Hf 0.0011 0.4969 0.2579
5 Fe 0.0013 0.9973 0.4981
6 Mo 0.5013 0.4973 0.9981

Calculated values
The space group is P4/mmm, No. 123.

***

Material: Hf6Fe5Mo
Method: DFT, PBE
State: relaxed

a = 4.4786 Å, b = 6.3348 Å, c = 7.0908 Å
α = 90.00°, β = 71.59°, γ = 90.00°
Fractional positions:
1 Mo 0.0000 0.0000 0.0000
2 Hf 0.8313 0.7489 0.3374
3 Hf 0.8313 0.2511 0.3374
4 Hf 0.5000 0.2546 0.0000
5 Hf 0.5000 0.7454 0.0000
6 Hf 0.1687 0.7489 0.6626
7 Hf 0.1687 0.2511 0.6626
8 Fe 0.6677 0.5000 0.6647
9 Fe 0.3320 0.0000 0.3360
10 Fe 0.0000 0.5000 0.0000
11 Fe 0.6680 0.0000 0.6640
12 Fe 0.3323 0.5000 0.3353

Calculated values
The space group is Cmmm, No. 65.

***

Material: HfFe2Mo
Method: DFT, PBE
State: relaxed

a = 6.7056 Å, b = 6.7056 Å, c = 5.4750 Å
α = 52.24°, β = 52.24°, γ = 90.00°
Fractional positions:
1 Mo 0.5000 0.5000 0.0000
2 Mo 0.2500 0.7500 0.5000
3 Hf 0.0000 0.0000 0.0000
4 Hf 0.7500 0.2500 0.5000
5 Fe 0.5944 0.1250 0.2500
6 Fe 0.1556 0.6250 0.2500
7 Fe 0.3750 0.4056 0.7500
8 Fe 0.8750 0.8444 0.7500

Calculated values
The space group is I-42d, No. 122.

***

Material: Hf2Fe2Mo
Method: DFT, PBE
State: relaxed

a = 6.2083 Å, b = 6.2083 Å, c = 4.2182 Å
α = 90.00°, β = 90.00°, γ = 90.00°
Fractional positions:
1 Mo 0.0000 0.0000 0.0000
2 Mo 0.5000 0.5000 0.0000
3 Hf 0.1808 0.6808 0.5000
4 Hf 0.6808 0.8192 0.5000
5 Hf 0.8192 0.3192 0.5000
6 Hf 0.3192 0.1808 0.5000
7 Fe 0.3699 0.8699 0.0000
8 Fe 0.8699 0.6301 0.0000
9 Fe 0.6301 0.1301 0.0000
10 Fe 0.1301 0.3699 0.0000

Calculated values
The space group is P4/mbm, No. 127.

***

Material: Hf2FeMo
Method: DFT, PBE
State: relaxed

a = 3.2160 Å, b = 3.2160 Å, c = 6.5602 Å
α = 90.00°, β = 90.00°, γ = 90.00°
Fractional positions:
1 Mo 0.5000 0.5000 0.5000
2 Hf 0.0000 0.0000 0.7622
3 Hf 0.0000 0.0000 0.2378
4 Fe 0.5000 0.5000 0.0000

Calculated values
The space group is P4/mmm, No. 123.

***

Material: Hf2FeMo
Method: DFT, PBE
State: relaxed

a = 3.1188 Å, b = 3.1188 Å, c = 9.3383 Å
α = 80.39°, β = 80.39°, γ = 60.00°
Fractional positions:
1 Mo 0.5000 0.5000 0.5000
2 Hf 0.0901 0.0901 0.7296
3 Hf 0.9099 0.9099 0.2704
4 Fe 0.0000 0.0000 0.0000

Calculated values
The space group is R-3m, No. 166.

***

Material: Hf3Fe8Mo
Method: DFT, PBE
State: relaxed

a = 4.8881 Å, b = 4.8881 Å, c = 8.4718 Å
α = 73.23°, β = 73.23°, γ = 60.00°
Fractional positions:
1 Hf 0.3756 0.3756 0.8732
2 Hf 0.9967 0.9967 0.0098
3 Hf 0.5031 0.5031 0.4906
4 Fe 0.9383 0.4363 0.1891
5 Fe 0.4384 0.9382 0.6852
6 Fe 0.4363 0.4363 0.1891
7 Fe 0.9382 0.9382 0.6852
8 Fe 0.1880 0.1880 0.4360
9 Fe 0.6875 0.6875 0.9374
10 Fe 0.4363 0.9383 0.1891
11 Fe 0.9382 0.4384 0.6852
12 Mo 0.8733 0.8733 0.3802

Calculated values
The space group is R3m, No. 160.

***

Material: Hf2FeMo
Method: DFT, PBE
State: relaxed

a = 7.1226 Å, b = 7.1226 Å, c = 5.7763 Å
α = 51.94°, β = 51.94°, γ = 90.00°
Fractional positions:
1 Mo 0.0000 0.0000 0.0000
2 Mo 0.7500 0.2500 0.5000
3 Hf 0.5921 0.1250 0.2500
4 Hf 0.1579 0.6250 0.2500
5 Hf 0.3750 0.4079 0.7500
6 Hf 0.8750 0.8421 0.7500
7 Fe 0.5000 0.5000 0.0000
8 Fe 0.2500 0.7500 0.5000

Calculated values
The space group is I-42d, No. 122.

***

Material: HfFeMo2
Method: DFT, PBE
State: relaxed

a = 7.2756 Å, b = 7.2756 Å, c = 5.7410 Å
α = 50.68°, β = 50.68°, γ = 90.00°
Fractional positions:
1 Mo 0.5768 0.1250 0.2500
2 Mo 0.1732 0.6250 0.2500
3 Mo 0.3750 0.4232 0.7500
4 Mo 0.8750 0.8268 0.7500
5 Hf 0.0000 0.0000 0.0000
6 Hf 0.7500 0.2500 0.5000
7 Fe 0.5000 0.5000 0.0000
8 Fe 0.2500 0.7500 0.5000

Calculated values
The space group is I-42d, No. 122.

***

The evaluated total DFT energy (no corrections) for the records listed, in turn: -57.514, -42.454, -46.859, -37.815, -40.921, -39.158, -46.316, -57.951, -115.874, -71.593, -96.249, -39.765, -36.910, -111.156, -74.683, -76.542 eV per cell.
The evaluated formation energy from the elements for the records listed, in turn: -0.231, 1.340, 0.336, -0.026, 1.050, 0.230, 0.568, 0.193, -0.251, 0.478, -0.092, -0.141, 0.573, -0.230, 0.465, 0.452 eV per atom.